--- a ---
Below is a relaxed structure of LaPm6Dy2, with properties calculated at the GGA-PBE level.

abc: 3.6400 3.6400 27.1211
angles: 90.00 90.00 120.00
Last column: nearest neighbours and their distance in Å.
Fractional positions:
Pm 0.3333 0.6667 0.7776  3 Dy 3.61, 9 Pm 3.62-3.64
Pm 0.3333 0.6667 0.2224  3 Dy 3.61, 9 Pm 3.62-3.64
Pm 0.3333 0.6667 0.5657  3 Dy 3.51, 7 Pm 3.56-3.64
Pm 0.6667 0.3333 0.8861  9 Pm 3.62-3.64, 3 La 3.74
Pm 0.6667 0.3333 0.1139  9 Pm 3.62-3.64, 3 La 3.74
Pm 0.3333 0.6667 0.4343  3 Dy 3.51, 7 Pm 3.56-3.64
La 0.3333 0.6667 0.0000  6 La 3.64, 6 Pm 3.74
Dy 0.6667 0.3333 0.3309  6 Pm 3.51-3.61, 6 Dy 3.64
Dy 0.6667 0.3333 0.6691  6 Pm 3.51-3.61, 6 Dy 3.64

Values from the calculation:
- Calculated volume: 311.2 Å³/cell

***

--- b ---
Below is a relaxed structure of LaPm6Dy2, with properties calculated at the GGA-PBE level.

abc: 3.6480 8.9145 13.0722
angles: 132.57 81.92 90.09
Last column: nearest neighbours and their distance in Å.
Fractional positions:
Dy 0.4442 0.7757 0.1113  7 Pm 3.59-3.68, 3 Dy 3.62-3.65, 2 La 3.65
Dy 0.5558 0.2243 0.8887  7 Pm 3.59-3.68, 3 Dy 3.62-3.65, 2 La 3.65
Pm 0.6678 0.6641 0.6652  9 Pm 3.62-3.66, 2 La 3.65, 1 Dy 3.68
Pm 0.2213 0.8932 0.5576  10 Pm 3.61-3.68, 2 Dy 3.62
Pm 0.1106 0.4441 0.7798  4 Dy 3.59-3.63, 7 Pm 3.62-3.68, 1 La 3.66
Pm 0.3322 0.3359 0.3348  9 Pm 3.62-3.66, 2 La 3.65, 1 Dy 3.68
Pm 0.7787 0.1068 0.4424  10 Pm 3.61-3.68, 2 Dy 3.62
Pm 0.8894 0.5559 0.2202  4 Dy 3.59-3.63, 7 Pm 3.62-3.68, 1 La 3.66
La 0.0000 0.0000 0.0000  2 La 3.65, 4 Dy 3.65, 6 Pm 3.65-3.66

Values from the calculation:
- Calculated volume: 307.4 Å³/cell

***

b ends up most stable, edging out the next structure by 37 meV/atom.